[1]
The following is a DFT calculation (PBE) of an optimized crystal structure of CdReIO4.

```
CdReIO4
1.0
5.192 -3.811 0.000
5.192 3.811 0.000
-4.928 0.000 8.715
Cd Re I O
2 2 2 8
Cartesian
0.754 0.000 1.763 Cd
4.702 0.000 6.952 Cd
0.660 0.000 5.779 Re
4.796 0.000 2.936 Re
-2.975 0.000 7.934 I
8.431 0.000 0.781 I
-0.081 1.421 6.485 O
0.361 0.000 4.047 O
3.069 0.000 2.629 O
5.537 1.421 2.230 O
-0.081 -1.421 6.485 O
2.387 0.000 6.086 O
5.095 0.000 4.668 O
5.537 -1.421 2.230 O
```

Output
Crystal system: monoclinic
Energy relative to the elements, uncorrected, eV per atom: -1.339
Total energy, eV/cell: -88.23
Volume, A^3/atom: 24.6
Density, g cm⁻³: 4.71
Symmetry: C2/m
Magnetic moment, μB/atom: 0.000

[2]
The following is a DFT calculation (PBE) of an optimized crystal structure of PuZrNpZn.

```
PuZrNpZn
1.0
0.000 3.470 3.470
3.470 0.000 3.470
3.470 3.470 0.000
Pu Zr Np Zn
1 1 1 1
Cartesian
0.000 0.000 0.000 Pu
3.470 3.470 3.470 Zr
5.205 5.205 5.205 Np
1.735 1.735 1.735 Zn
```

Output
Crystal system: cubic
Total energy, eV/cell: -36.08
DFT formation energy, eV/atom: 0.25
Volume, A^3/atom: 20.9
Density, g cm⁻³: 12.67
Symmetry: F-43m
Magnetic moment, μB/atom: 2.214

[3]
The following is a DFT calculation (PBE) of an optimized crystal structure of CrHgRu2.

```
CrHgRu2
1.0
2.836 0.000 0.000
0.000 3.822 0.000
0.000 0.000 5.744
Cr Hg Ru
1 1 2
Cartesian
0.000 0.000 0.000 Cr
1.418 1.911 1.606 Hg
0.000 0.000 3.288 Ru
1.418 1.911 4.472 Ru
```

Output
Crystal system: orthorhombic
Total energy, eV/cell: -26.88
DFT formation energy, eV/atom: 0.40
Volume, A^3/atom: 15.6
Density, g cm⁻³: 12.13
Symmetry: Pmm2
Magnetic moment, μB/atom: 0.640

[4]
The following is a DFT calculation (PBE) of an optimized crystal structure of BaLaPI2.

```
BaLaPI2
1.0
5.606 0.000 0.000
0.000 5.606 0.000
0.000 0.000 6.010
Ba La P I
1 1 1 2
Cartesian
0.000 0.000 0.000 Ba
2.803 2.803 0.000 La
0.000 0.000 3.005 P
0.000 2.803 3.005 I
2.803 0.000 3.005 I
```

Output
Crystal system: tetragonal
Energy relative to the elements, uncorrected, eV per atom: 0.026
Total energy, eV/cell: -15.23
Volume, A^3/atom: 37.8
Density, g cm⁻³: 4.93
Symmetry: P4/mmm
Magnetic moment, μB/atom: 0.391